Entry 1:
{"formula": "Nd8Tm2Tl", "functional": "PBE", "state": "relaxed", "cell": [[5.464, -0.117, 0.073], [0.135, 9.266, 4.827], [-0.077, 1.577, 8.281]], "species": ["Nd", "Nd", "Nd", "Nd", "Nd", "Nd", "Nd", "Nd", "Tm", "Tm", "Tl"], "frac_coords": [[0.500, 0.297, 0.727], [0.000, 0.248, 0.496], [0.000, 0.746, 0.504], [0.000, 0.662, 0.000], [0.000, 0.332, 0.000], [0.500, 0.025, 0.273], [0.500, 0.696, 0.273], [0.500, 0.969, 0.727], [0.500, 0.376, 0.243], [0.500, 0.618, 0.757], [0.000, 0.997, 0.000]], "e_tot_ev_per_atom": -4.42, "spacegroup": "P2/m, No. 10"}

***

Entry 2:
{"formula": "NdTmTl4", "functional": "PBE", "state": "relaxed", "cell": [[5.132, 0.000, -0.001], [0.000, 5.134, -0.002], [0.004, 0.006, 7.474]], "species": ["Tl", "Tl", "Tl", "Tl", "Tm", "Nd"], "frac_coords": [[0.501, 0.997, 0.264], [0.001, 0.497, 0.265], [0.501, 0.997, 0.732], [0.001, 0.497, 0.732], [0.001, 0.997, 0.498], [0.501, 0.497, 0.998]], "e_tot_ev_per_atom": -3.13, "spacegroup": "P4/mmm, No. 123"}

***

Entry 3:
{"formula": "Nd5Tm4Tl", "functional": "PBE", "state": "relaxed", "cell": [[6.229, 0.000, 0.000], [3.115, 7.394, 0.000], [3.115, 0.000, 7.394]], "species": ["Nd", "Nd", "Nd", "Nd", "Nd", "Tm", "Tm", "Tm", "Tm", "Tl"], "frac_coords": [[0.819, 0.384, 0.910], [0.728, 0.090, 0.384], [0.203, 0.910, 0.616], [0.637, 0.000, 0.000], [0.113, 0.616, 0.090], [0.511, 0.595, 0.306], [0.817, 0.694, 0.595], [0.106, 0.306, 0.405], [0.412, 0.405, 0.694], [0.165, 0.000, 0.000]], "e_tot_ev_per_atom": -4.18, "spacegroup": "I4, No. 79"}

***

Entry 4:
{"formula": "Nd12Tm5Tl2", "functional": "PBE", "state": "relaxed", "cell": [[9.402, 0.000, 0.000], [-4.701, 7.649, 1.182], [0.000, -1.775, 8.459]], "species": ["Nd", "Nd", "Nd", "Nd", "Nd", "Nd", "Nd", "Nd", "Nd", "Nd", "Nd", "Nd", "Tl", "Tl", "Tm", "Tm", "Tm", "Tm", "Tm"], "frac_coords": [[0.557, 0.114, 0.320], [0.181, 0.753, 0.346], [0.572, 0.753, 0.346], [0.819, 0.247, 0.654], [0.966, 0.303, 0.234], [0.085, 0.170, 0.885], [0.443, 0.886, 0.680], [0.428, 0.247, 0.654], [0.663, 0.697, 0.766], [0.337, 0.303, 0.234], [0.915, 0.830, 0.115], [0.034, 0.697, 0.766], [0.681, 0.000, 0.000], [0.319, 0.000, 0.000], [0.232, 0.464, 0.586], [0.685, 0.370, 0.005], [0.000, 0.000, 0.500], [0.315, 0.630, 0.995], [0.768, 0.536, 0.414]], "e_tot_ev_per_atom": -4.42, "spacegroup": "C2/m, No. 12"}

***

Entry 5:
{"formula": "Nd6TmTl3", "functional": "PBE", "state": "relaxed", "cell": [[5.523, 0.000, 0.000], [0.000, 12.830, -1.898], [0.000, -6.756, 9.983]], "species": ["Nd", "Nd", "Nd", "Nd", "Nd", "Nd", "Nd", "Nd", "Nd", "Nd", "Nd", "Nd", "Tl", "Tl", "Tl", "Tl", "Tl", "Tl", "Tm", "Tm"], "frac_coords": [[0.250, 0.058, 0.138], [0.750, 0.531, 0.629], [0.750, 0.436, 0.082], [0.750, 0.133, 0.400], [0.750, 0.942, 0.862], [0.750, 0.796, 0.035], [0.250, 0.199, 0.668], [0.250, 0.564, 0.918], [0.250, 0.867, 0.600], [0.250, 0.469, 0.371], [0.250, 0.204, 0.965], [0.750, 0.801, 0.332], [0.250, 0.737, 0.792], [0.750, 0.671, 0.485], [0.250, 0.329, 0.515], [0.750, 0.263, 0.208], [0.250, 0.609, 0.222], [0.750, 0.391, 0.778], [0.750, 0.097, 0.717], [0.250, 0.903, 0.283]], "e_tot_ev_per_atom": -4.19, "spacegroup": "P2_1/m, No. 11"}

***

Entry 6:
{"formula": "Nd3Tm2Tl2", "functional": "PBE", "state": "relaxed", "cell": [[-3.382, 1.353, 3.525], [1.828, -1.847, 2.462], [4.714, 10.291, 4.219]], "species": ["Nd", "Nd", "Nd", "Tm", "Tm", "Tl", "Tl"], "frac_coords": [[0.853, 0.000, 0.295], [0.000, 0.000, 0.000], [0.147, 0.000, 0.705], [0.713, 0.500, 0.573], [0.287, 0.500, 0.427], [0.427, 0.500, 0.147], [0.573, 0.500, 0.853]], "e_tot_ev_per_atom": -4.10, "spacegroup": "Cmmm, No. 65"}

***

no.,E_form (eV/atom),DOS at the Fermi energy (states/eV/atom),magnetic moment (μB/cell)
1,0.077,1.641,0.0
2,-0.009,0.822,0.0
3,0.227,1.585,0.0
4,0.017,1.438,0.0
5,-0.174,1.168,0.0
6,-0.105,1.075,0.2